Entry 1:
Entry from Alexandria via LeMat-Bulk: a geometry-optimized TbZn2Cu4 structure (PBE).

```
7
Lattice="-3.652 3.652 2.570 3.652 -3.652 2.570 3.652 3.652 -2.570" Properties=species:S:1:pos:R:3 pbc="T T T"
Tb 0.000 0.000 0.000
Zn 3.652 0.000 1.285
Zn 0.000 3.652 1.285
Cu 3.652 2.010 0.000
Cu 2.010 3.652 0.000
Cu 1.642 0.000 2.570
Cu 0.000 1.642 2.570
```

Crystal system   tetragonal
DOS(E_F)   0.3892 states/eV/atom
E above lowest polymorph   0.502 eV per atom

Entry 2:
Entry from Alexandria via LeMat-Bulk: a geometry-optimized Tb3Zn3Cu2 structure (PBE).

```
16
Lattice="2.217 -4.939 0.000 2.217 4.939 0.000 0.000 0.000 14.826" Properties=species:S:1:pos:R:3 pbc="T T T"
Tb 2.217 4.031 8.980
Tb 2.217 4.031 13.259
Tb 2.217 1.197 11.120
Tb 2.217 -1.197 3.707
Tb 2.217 -4.031 1.567
Tb 2.217 -4.031 5.846
Zn 2.217 1.708 3.707
Zn 2.217 1.155 8.023
Zn 2.217 1.155 14.216
Zn 2.217 -1.155 0.610
Zn 2.217 -1.155 6.803
Zn 2.217 -1.708 11.120
Cu 2.217 2.931 1.493
Cu 2.217 2.931 5.920
Cu 2.217 -2.931 8.907
Cu 2.217 -2.931 13.333
```

Crystal system   orthorhombic
DOS(E_F)   0.7460 states/eV/atom
E above lowest polymorph   0.000 eV per atom

Entry 3:
Entry from Alexandria via LeMat-Bulk: a geometry-optimized Tb12ZnCu6 structure (PBE).

```
19
Lattice="6.956 4.016 2.884 -6.956 4.016 2.884 0.000 -8.032 2.884" Properties=species:S:1:pos:R:3 pbc="T T T"
Tb -0.878 -4.979 2.414
Tb -3.873 3.250 2.414
Tb -1.502 -1.634 2.890
Tb -4.752 -1.729 6.239
Tb -0.664 2.118 2.890
Tb 2.166 -0.484 2.890
Tb -2.166 0.484 5.763
Tb 0.664 -2.118 5.763
Tb 4.752 1.729 2.414
Tb 1.502 1.634 5.763
Tb 3.873 -3.250 6.239
Tb 0.878 4.979 6.239
Zn 0.000 0.000 0.000
Cu -3.392 0.447 3.287
Cu 1.309 -3.161 3.287
Cu -2.083 -2.715 5.366
Cu 2.083 2.715 3.287
Cu -1.309 3.161 5.366
Cu 3.392 -0.447 5.366
```

Crystal system   trigonal
DOS(E_F)   1.0959 states/eV/atom
E above lowest polymorph   0.142 eV per atom

Entry 4:
Entry from Alexandria via LeMat-Bulk: a geometry-optimized Tb4Zn5Cu2 structure (PBE).

```
11
Lattice="6.991 0.000 0.000 0.000 3.672 0.000 -0.574 0.000 8.990" Properties=species:S:1:pos:R:3 pbc="T T T"
Tb 1.016 0.000 3.343
Tb 1.241 0.000 8.429
Tb 5.176 0.000 0.561
Tb 5.401 0.000 5.646
Zn 0.997 1.836 5.915
Zn 2.961 1.836 1.817
Zn 3.208 1.836 4.495
Zn 3.455 1.836 7.172
Zn 5.420 1.836 3.075
Cu 0.365 1.836 1.211
Cu 6.052 1.836 7.779
```

Crystal system   monoclinic
DFT total energy   -35.97 eV per cell
DOS(E_F)   0.7562 states/eV/atom

Entry 5:
Entry from Alexandria via LeMat-Bulk: a geometry-optimized TbZn9Cu2 structure (PBE).

```
24
Lattice="-5.247 5.247 3.349 5.247 -5.247 3.349 5.247 5.247 -3.349" Properties=species:S:1:pos:R:3 pbc="T T T"
Tb 5.247 2.623 0.837
Tb 0.000 2.623 2.512
Zn 5.247 -2.623 2.512
Zn 3.975 -0.484 1.212
Zn 6.518 -0.484 1.212
Zn 2.139 1.352 0.463
Zn 8.354 1.352 0.463
Zn 3.975 4.763 -1.212
Zn 1.271 -0.484 2.137
Zn 2.139 3.895 0.463
Zn 3.107 -1.352 3.812
Zn 2.139 6.599 -0.463
Zn 3.107 1.352 2.886
Zn 3.975 5.731 1.212
Zn 1.271 0.484 4.561
Zn -3.107 3.895 2.886
Zn 3.107 3.895 2.886
Zn -1.271 5.731 2.137
Zn 1.271 5.731 2.137
Zn 0.000 7.870 0.837
Cu 0.000 0.000 0.000
Cu 2.623 2.623 -1.674
Cu 2.623 -2.623 1.674
Cu 0.000 5.247 0.000
```

Crystal system   tetragonal
DOS(E_F)   0.1974 states/eV/atom
E above lowest polymorph   0.000 eV per atom

Entry 6:
Entry from Alexandria via LeMat-Bulk: a geometry-optimized TbZn2Cu4 structure (PBE).

```
7
Lattice="4.070 -3.213 0.000 4.070 3.213 0.000 -3.013 0.000 4.011" Properties=species:S:1:pos:R:3 pbc="T T T"
Tb 0.000 0.000 0.000
Zn 3.308 0.000 0.991
Zn 1.819 0.000 3.020
Cu 1.587 1.986 1.252
Cu 3.540 1.986 2.760
Cu 1.587 -1.986 1.252
Cu 3.540 -1.986 2.760
```

Crystal system   monoclinic
DOS(E_F)   0.3920 states/eV/atom
E above lowest polymorph   0.000 eV per atom

Entry 7:
Entry from Alexandria via LeMat-Bulk: a geometry-optimized Tb4Zn3Cu structure (PBE).

```
8
Lattice="3.558 0.000 0.000 0.000 3.558 0.000 0.000 0.000 14.253" Properties=species:S:1:pos:R:3 pbc="T T T"
Tb 0.000 0.000 1.718
Tb 0.000 0.000 5.325
Tb 0.000 0.000 8.928
Tb 0.000 0.000 12.535
Zn 1.779 1.779 3.541
Zn 1.779 1.779 7.126
Zn 1.779 1.779 10.711
Cu 1.779 1.779 0.000
```

Crystal system   tetragonal
DOS(E_F)   0.9325 states/eV/atom
E above lowest polymorph   0.000 eV per atom

Entry 8:
Entry from Alexandria via LeMat-Bulk: a geometry-optimized Tb2ZnCu7 structure (PBE).

```
10
Lattice="3.998 0.000 0.000 0.000 3.998 0.000 0.000 0.000 10.284" Properties=species:S:1:pos:R:3 pbc="T T T"
Tb 0.000 1.999 2.535
Tb 1.999 0.000 7.749
Zn 0.000 0.000 5.142
Cu 0.000 0.000 0.000
Cu 0.000 1.999 6.553
Cu 0.000 1.999 8.906
Cu 1.999 0.000 1.378
Cu 1.999 0.000 3.731
Cu 1.999 1.999 0.000
Cu 1.999 1.999 5.142
```

Crystal system   tetragonal
DFT total energy   -40.67 eV per cell
DOS(E_F)   0.7161 states/eV/atom